[1]
# GdErGe2

A relaxed structure of GdErGe2 (PBE, Alexandria via LeMat-Bulk).

Values from the calculation:
VASP energy = -7.66 eV per atom
Theoretical density = 8.1 g/cm³
Crystal system = trigonal
ΔE to the lowest computed polymorph = 0.0 meV per atom
Energy of formation from the pure elements = -690 meV per atom

```
data_GdErGe2
_chemical_formula_sum 'Gd3 Er3 Ge6'
_space_group_name_H-M_alt 'R -3 m'
_space_group_IT_number 166
_space_group_name_Hall '-R 3 2"'
_cell_length_a 4.6280
_cell_length_b 4.6280
_cell_length_c 15.6136
_cell_angle_alpha 90.00
_cell_angle_beta 90.00
_cell_angle_gamma 120.00
loop_
_atom_site_label
_atom_site_type_symbol
_atom_site_fract_x
_atom_site_fract_y
_atom_site_fract_z
_atom_site_occupancy
Gd1 Gd 0.0000 0.0000 0.0000 1
Er1 Er 0.0000 0.0000 0.5000 1
Ge1 Ge 0.0000 0.0000 0.2468 1
```

---

[2]
# TaAlV2H

A relaxed structure of TaAlV2H (PBE, Alexandria via LeMat-Bulk).

Values from the calculation:
VASP energy = -7.58 eV per atom
Theoretical density = 8.3 g/cm³
Crystal system = tetragonal

```
data_TaAlV2H
_chemical_formula_sum 'Ta1 Al1 V2 H1'
_space_group_name_H-M_alt 'P 4/m m m'
_space_group_IT_number 123
_space_group_name_Hall '-P 4 2'
_cell_length_a 3.844
_cell_length_b 3.844
_cell_length_c 4.233
_cell_angle_alpha 90.00
_cell_angle_beta 90.00
_cell_angle_gamma 90.00
loop_
_atom_site_label
_atom_site_type_symbol
_atom_site_fract_x
_atom_site_fract_y
_atom_site_fract_z
_atom_site_occupancy
Ta1 Ta 0.000 0.000 0.000 1
Al1 Al 0.500 0.500 0.000 1
V1 V 0.000 0.500 0.500 1
H1 H 0.000 0.000 0.500 1
```

---

[3]
# Rb2FePdCl6

A relaxed structure of Rb2FePdCl6 (PBE, Alexandria via LeMat-Bulk).

Values from the calculation:
VASP energy = -3.80 eV per atom
Theoretical density = 3.4 g/cm³
Crystal system = trigonal
Raw formation energy = -1.132 eV/atom
ΔE to the lowest computed polymorph = 0.0 meV per atom

```
data_Rb2FePdCl6
_chemical_formula_sum 'Rb12 Fe6 Pd6 Cl36'
_space_group_name_H-M_alt 'R -3 m'
_space_group_IT_number 166
_space_group_name_Hall '-R 3 2"'
_cell_length_a 7.1255
_cell_length_b 7.1255
_cell_length_c 35.9638
_cell_angle_alpha 90.00
_cell_angle_beta 90.00
_cell_angle_gamma 120.00
loop_
_atom_site_label
_atom_site_type_symbol
_atom_site_fract_x
_atom_site_fract_y
_atom_site_fract_z
_atom_site_occupancy
Rb1 Rb 0.0000 0.0000 0.1209 1
Rb2 Rb 0.0000 0.0000 0.2940 1
Fe1 Fe 0.0000 0.0000 0.4132 1
Pd1 Pd 0.0000 0.0000 0.0000 1
Pd2 Pd 0.0000 0.0000 0.5000 1
Cl1 Cl 0.0097 0.5049 0.2920 1
Cl2 Cl 0.0148 0.5074 0.1208 1
```

---

[4]
# CaTbEuNbO6

A relaxed structure of CaTbEuNbO6 (PBE, Alexandria via LeMat-Bulk).

Values from the calculation:
VASP energy = -8.55 eV per atom
Theoretical density = 6.0 g/cm³
Crystal system = cubic
Raw formation energy = -2.877 eV/atom

```
data_CaTbEuNbO6
_chemical_formula_sum 'Ca4 Tb4 Eu4 Nb4 O24'
_space_group_name_H-M_alt 'F -4 3 m'
_space_group_IT_number 216
_space_group_name_Hall 'F -4 2 3'
_cell_length_a 8.422
_cell_length_b 8.422
_cell_length_c 8.422
_cell_angle_alpha 90.00
_cell_angle_beta 90.00
_cell_angle_gamma 90.00
loop_
_atom_site_label
_atom_site_type_symbol
_atom_site_fract_x
_atom_site_fract_y
_atom_site_fract_z
_atom_site_occupancy
Ca1 Ca 0.000 0.000 0.000 1
Tb1 Tb 0.250 0.250 0.250 1
Eu1 Eu 0.000 0.000 0.500 1
Nb1 Nb 0.250 0.250 0.750 1
O1 O 0.012 0.250 0.750 1
```

---

[5]
# BaCu4Sb

A relaxed structure of BaCu4Sb (PBE, Alexandria via LeMat-Bulk).

Values from the calculation:
VASP energy = -3.70 eV per atom
Theoretical density = 7.5 g/cm³
Crystal system = cubic
Raw formation energy = 0.037 eV/atom

```
data_BaCu4Sb
_chemical_formula_sum 'Ba4 Cu16 Sb4'
_space_group_name_H-M_alt 'F -4 3 m'
_space_group_IT_number 216
_space_group_name_Hall 'F -4 2 3'
_cell_length_a 7.701
_cell_length_b 7.701
_cell_length_c 7.701
_cell_angle_alpha 90.00
_cell_angle_beta 90.00
_cell_angle_gamma 90.00
loop_
_atom_site_label
_atom_site_type_symbol
_atom_site_fract_x
_atom_site_fract_y
_atom_site_fract_z
_atom_site_occupancy
Ba1 Ba 0.000 0.000 0.000 1
Cu1 Cu 0.123 0.123 0.623 1
Sb1 Sb 0.250 0.250 0.250 1
```

---

[6]
# LiLaSb2Te

A relaxed structure of LiLaSb2Te (PBE, Alexandria via LeMat-Bulk).

Values from the calculation:
VASP energy = -4.08 eV per atom
Theoretical density = 6.3 g/cm³
Crystal system = tetragonal
Raw formation energy = -0.437 eV/atom
ΔE to the lowest computed polymorph = 0.0 meV per atom

```
data_LiLaSb2Te
_chemical_formula_sum 'Li1 La1 Sb2 Te1'
_space_group_name_H-M_alt 'P 4/m m m'
_space_group_IT_number 123
_space_group_name_Hall '-P 4 2'
_cell_length_a 5.082
_cell_length_b 5.082
_cell_length_c 5.261
_cell_angle_alpha 90.00
_cell_angle_beta 90.00
_cell_angle_gamma 90.00
loop_
_atom_site_label
_atom_site_type_symbol
_atom_site_fract_x
_atom_site_fract_y
_atom_site_fract_z
_atom_site_occupancy
Li1 Li 0.000 0.000 0.000 1
La1 La 0.500 0.500 0.500 1
Sb1 Sb 0.000 0.500 0.000 1
Te1 Te 0.000 0.000 0.500 1
```

---

Please write out number 6 again, unchanged.
# LiLaSb2Te

A relaxed structure of LiLaSb2Te (PBE, Alexandria via LeMat-Bulk).

Values from the calculation:
VASP energy = -4.08 eV per atom
Theoretical density = 6.3 g/cm³
Crystal system = tetragonal
Raw formation energy = -0.437 eV/atom
ΔE to the lowest computed polymorph = 0.0 meV per atom

```
data_LiLaSb2Te
_chemical_formula_sum 'Li1 La1 Sb2 Te1'
_space_group_name_H-M_alt 'P 4/m m m'
_space_group_IT_number 123
_space_group_name_Hall '-P 4 2'
_cell_length_a 5.082
_cell_length_b 5.082
_cell_length_c 5.261
_cell_angle_alpha 90.00
_cell_angle_beta 90.00
_cell_angle_gamma 90.00
loop_
_atom_site_label
_atom_site_type_symbol
_atom_site_fract_x
_atom_site_fract_y
_atom_site_fract_z
_atom_site_occupancy
Li1 Li 0.000 0.000 0.000 1
La1 La 0.500 0.500 0.500 1
Sb1 Sb 0.000 0.500 0.000 1
Te1 Te 0.000 0.000 0.500 1
```

---

> Look up the theoretical density of the third one.

3.4 g/cm³

---

> Which formula does entry 4 have?

CaTbEuNbO6

---

> Which formula does entry 2 have?

TaAlV2H